(1)
Density functional theory data (PBE) for an optimized crystal structure of NdLuMgPt.

Values from the calculation:
Total energy ... -19.2 eV for the cell shown
Calculated volume ... 94.9 Å³ per cell

abc: 5.121 5.121 5.121
angles: 60.00 60.00 60.00
Sites, in units of the cell vectors:
Mg 0.250 0.250 0.250
Pt 0.750 0.750 0.750
Lu 0.000 0.000 0.000
Nd 0.500 0.500 0.500

(2)
Density functional theory data (PBE) for an optimized crystal structure of Li2PdPb.

Values from the calculation:
Total energy ... -14.2 eV for the cell shown
Calculated volume ... 69.7 Å³ per cell

abc: 4.069 4.138 4.138
angles: 90.00 90.00 90.00
Sites, in units of the cell vectors:
Li 0.000 0.500 0.000
Li 0.000 0.000 0.500
Pb 0.500 0.500 0.500
Pd 0.500 0.000 0.000

(3)
Density functional theory data (PBE) for an optimized crystal structure of HoBe2Ni3.

Values from the calculation:
Total energy ... -32.3 eV for the cell shown
Calculated volume ... 73.9 Å³ per cell

abc: 3.408 5.003 5.003
angles: 120.00 90.00 90.00
Sites, in units of the cell vectors:
Ni 0.500 0.001 0.500
Ni 0.500 0.501 0.500
Ni 0.500 0.501 0.000
Be 0.000 0.335 0.667
Be 0.000 0.668 0.333
Ho 0.000 0.001 0.000

(4)
Density functional theory data (PBE) for an optimized crystal structure of PrH8PtRh4.

Values from the calculation:
Total energy ... -69.7 eV for the cell shown
Calculated volume ... 131.3 Å³ per cell

abc: 5.710 5.710 5.699
angles: 59.94 59.94 60.00
Sites, in units of the cell vectors:
H 0.223 0.223 0.331
H 0.870 0.218 0.694
H 0.218 0.870 0.694
H 0.690 0.690 0.341
H 0.690 0.279 0.341
H 0.218 0.218 0.694
H 0.279 0.690 0.341
H 0.768 0.768 0.696
Rh 0.634 0.634 0.098
Rh 0.006 0.006 0.474
Rh 0.006 0.515 0.474
Rh 0.515 0.006 0.474
Pr 0.384 0.384 0.848
Pt 0.001 0.001 0.997

(5)
Density functional theory data (PBE) for an optimized crystal structure of TaHgTe2.

Values from the calculation:
Raw formation energy ... -28.9 meV per atom
Total energy ... -37.1 eV for the cell shown
Calculated volume ... 262.6 Å³ per cell

abc: 26.554 7.762 7.762
angles: 132.46 153.16 26.84
Sites, in units of the cell vectors:
Hg 0.754 0.763 0.775
Hg 0.254 0.725 0.737
Te 0.185 0.680 0.122
Te 0.323 0.110 0.693
Te 0.823 0.807 0.390
Te 0.685 0.378 0.820
Ta 0.254 0.175 0.187
Ta 0.754 0.313 0.325

(6)
Density functional theory data (PBE) for an optimized crystal structure of Cs12Au5Se3.

Values from the calculation:
Raw formation energy ... -556.7 meV per atom
Total energy ... -192.9 eV for the cell shown
Calculated volume ... 4595.7 Å³ per cell

abc: 18.141 18.141 18.141
angles: 109.47 109.47 109.47
Sites, in units of the cell vectors:
Au 0.000 0.000 0.000
Au 0.750 0.625 0.375
Au 0.000 0.000 0.500
Au 0.625 0.875 0.250
Au 0.875 0.250 0.625
Au 0.375 0.125 0.750
Au 0.500 0.500 0.500
Au 0.125 0.750 0.375
Au 0.500 0.000 0.500
Au 0.250 0.375 0.625
Au 0.125 0.375 0.250
Au 0.000 0.500 0.500
Au 0.500 0.500 0.000
Au 0.625 0.750 0.875
Au 0.750 0.125 0.875
Au 0.875 0.625 0.750
Au 0.375 0.250 0.125
Au 0.250 0.875 0.125
Au 0.500 0.000 0.000
Au 0.000 0.500 0.000
Cs 0.082 0.172 0.443
Cs 0.582 0.943 0.672
Cs 0.910 0.828 0.771
Cs 0.557 0.328 0.918
Cs 0.443 0.672 0.082
Cs 0.582 0.639 0.410
Cs 0.943 0.361 0.271
Cs 0.672 0.229 0.590
Cs 0.229 0.557 0.639
Cs 0.361 0.943 0.771
Cs 0.918 0.828 0.557
Cs 0.139 0.410 0.082
Cs 0.418 0.057 0.328
Cs 0.172 0.082 0.943
Cs 0.590 0.729 0.672
Cs 0.672 0.443 0.582
Cs 0.410 0.271 0.328
Cs 0.361 0.418 0.090
Cs 0.918 0.090 0.861
Cs 0.729 0.590 0.172
Cs 0.139 0.729 0.557
Cs 0.082 0.910 0.139
Cs 0.090 0.172 0.229
Cs 0.828 0.910 0.271
Cs 0.557 0.229 0.139
Cs 0.639 0.582 0.910
Cs 0.771 0.328 0.910
Cs 0.861 0.590 0.918
Cs 0.443 0.771 0.861
Cs 0.328 0.771 0.410
Cs 0.910 0.082 0.639
Cs 0.172 0.090 0.729
Cs 0.590 0.861 0.418
Cs 0.328 0.557 0.418
Cs 0.410 0.139 0.582
Cs 0.771 0.443 0.361
Cs 0.229 0.672 0.090
Cs 0.090 0.918 0.361
Cs 0.943 0.582 0.172
Cs 0.057 0.639 0.729
Cs 0.057 0.418 0.828
Cs 0.639 0.057 0.229
Cs 0.271 0.861 0.943
Cs 0.861 0.271 0.443
Cs 0.418 0.361 0.590
Cs 0.271 0.410 0.828
Cs 0.729 0.139 0.057
Cs 0.828 0.918 0.057
Se 0.250 0.625 0.875
Se 0.625 0.250 0.375
Se 0.125 0.250 0.875
Se 0.375 0.750 0.625
Se 0.125 0.875 0.750
Se 0.250 0.125 0.375
Se 0.875 0.750 0.125
Se 0.625 0.375 0.750
Se 0.750 0.875 0.625
Se 0.750 0.375 0.125
Se 0.875 0.125 0.250
Se 0.375 0.625 0.250

(7)
Density functional theory data (PBE) for an optimized crystal structure of Tb5PrCd4.

Values from the calculation:
Total energy ... -34.0 eV for the cell shown
Calculated volume ... 281.3 Å³ per cell

abc: 3.722 3.722 20.302
angles: 90.00 90.00 90.00
Sites, in units of the cell vectors:
Tb 0.500 0.500 0.313
Tb 0.500 0.500 0.124
Tb 0.500 0.500 0.687
Tb 0.500 0.500 0.876
Tb 0.500 0.500 0.500
Cd 0.000 0.000 0.218
Cd 0.000 0.000 0.595
Cd 0.000 0.000 0.405
Cd 0.000 0.000 0.782
Pr 0.000 0.000 0.000

(8)
Density functional theory data (PBE) for an optimized crystal structure of RbBaBCl2.

Values from the calculation:
Raw formation energy ... -218.1 meV per atom
Total energy ... -14.4 eV for the cell shown
Calculated volume ... 182.5 Å³ per cell

abc: 5.801 5.424 5.801
angles: 90.00 90.00 90.00
Sites, in units of the cell vectors:
Rb 0.000 0.000 0.000
Cl 0.000 0.000 0.500
Cl 0.500 0.000 0.000
Ba 0.500 0.500 0.500
B 0.000 0.500 0.000

(9)
Density functional theory data (PBE) for an optimized crystal structure of CaTa2P.

Values from the calculation:
Total energy ... -30.0 eV for the cell shown
Calculated volume ... 80.5 Å³ per cell

abc: 4.739 3.394 5.083
angles: 80.11 90.00 90.00
Sites, in units of the cell vectors:
Ca 0.500 0.250 0.250
P 0.500 0.750 0.750
Ta 0.000 0.637 0.525
Ta 0.000 0.863 0.975

(10)
Density functional theory data (PBE) for an optimized crystal structure of Cs2HAuS.

Values from the calculation:
Total energy ... -14.6 eV for the cell shown
Calculated volume ... 148.0 Å³ per cell

abc: 6.468 3.537 6.468
angles: 90.00 90.00 90.00
Sites, in units of the cell vectors:
S 0.000 0.500 0.000
H 0.000 0.000 0.000
Cs 0.000 0.000 0.500
Cs 0.500 0.000 0.000
Au 0.500 0.500 0.500

(11)
Density functional theory data (PBE) for an optimized crystal structure of PuNiH3.

Values from the calculation:
Total energy ... -31.8 eV for the cell shown
Calculated volume ... 45.4 Å³ per cell

abc: 3.568 3.568 3.568
angles: 90.00 90.00 90.00
Sites, in units of the cell vectors:
H 0.000 0.500 0.000
H 0.000 0.000 0.500
H 0.500 0.000 0.000
Ni 0.000 0.000 0.000
Pu 0.500 0.500 0.500

(12)
Density functional theory data (PBE) for an optimized crystal structure of PmZr2Tl.

Values from the calculation:
Total energy ... -23.7 eV for the cell shown
Calculated volume ... 97.7 Å³ per cell

abc: 5.170 5.170 5.169
angles: 60.00 60.00 60.00
Sites, in units of the cell vectors:
Zr 0.250 0.250 0.250
Zr 0.750 0.750 0.750
Pm 0.000 0.000 0.000
Tl 0.500 0.500 0.500